# 1
Material: CuPt3O
Method: DFT, meta-GGA SCAN
State: single point on PBEsol structure

Unit cell a=4.4983 b=4.4983 c=4.4983 alpha=90.00 beta=90.00 gamma=90.00
Last column: nearest neighbours and their distance in Å.
Atoms (fractional coordinates):
Pt  0.5000  0.0000  0.0000  2 Cu 2.25
Cu  0.0000  0.0000  0.0000  6 Pt 2.25
Pt  0.0000  0.5000  0.0000  2 Cu 2.25
O  0.5000  0.5000  0.5000  12 Pt 3.18
Pt  0.0000  0.0000  0.5000  2 Cu 2.25

Output
Its density is 12.1 g/cm³. As for the raw total energy: -223.2 eV per formula unit. Its uncorrected formation energy is 1.758 eV per atom. As for the symmetry: No. 221.



# 2
Material: CuPtSO2
Method: DFT, meta-GGA SCAN
State: single point on PBEsol structure

Unit cell a=3.4902 b=3.4902 c=5.6843 alpha=90.00 beta=90.00 gamma=90.00
Last column: nearest neighbours and their distance in Å.
Atoms (fractional coordinates):
O  0.5000  0.0000  0.0000  2 Cu 1.75
Pt  0.0000  0.0000  0.5000  4 S 2.47
Cu  0.0000  0.0000  0.0000  4 O 1.75
O  0.0000  0.5000  0.0000  2 Cu 1.75
S  0.5000  0.5000  0.5000  4 Pt 2.47

Output
Its density is 7.7 g/cm³. As for the raw total energy: -106.2 eV per formula unit. Its uncorrected formation energy is 0.266 eV per atom. As for the symmetry: No. 123.



# 3
Material: Rb3Cu5O4
Method: DFT, meta-GGA SCAN
State: single point on PBEsol structure

Unit cell a=7.2031 b=9.8311 c=14.0936 alpha=106.90 beta=90.00 gamma=90.00
Last column: nearest neighbours and their distance in Å.
Atoms (fractional coordinates):
Cu  0.5557  0.0690  0.2650  2 O 1.81-1.82
O  0.3401  0.3642  0.1208  3 Cu 1.84-1.85
Cu  0.5787  0.4324  0.1199  2 O 1.80-1.85
Cu  0.0552  0.1995  0.6324  2 O 1.82-1.84
Cu  0.4213  0.5676  0.8801  2 O 1.80-1.85
Cu  0.8256  0.5643  0.2435  2 O 1.80-1.84
Cu  0.9213  0.4324  0.6199  2 O 1.80-1.85
O  0.5474  0.0291  0.1304  3 Cu 1.82-1.84
Cu  0.4448  0.1995  0.1324  2 O 1.82-1.84
Rb  0.7172  0.7700  0.0851  4 O 2.73-2.91
Cu  0.6744  0.5643  0.7435  2 O 1.80-1.84
Rb  0.6679  0.3965  0.4059  4 O 2.76-2.89
O  0.8401  0.6358  0.3792  3 Cu 1.84-1.85
Rb  0.4203  0.8230  0.3919  3 O 2.83-3.11
O  0.9265  0.1079  0.8985  2 Cu 1.81
Cu  0.5552  0.8005  0.8676  2 O 1.82-1.84
Cu  0.3256  0.4357  0.2565  2 O 1.80-1.84
O  0.4265  0.8921  0.6015  2 Cu 1.81
Rb  0.2172  0.2300  0.4149  4 O 2.73-2.91
Cu  0.1744  0.4357  0.7565  2 O 1.80-1.84
Rb  0.1679  0.6035  0.0941  4 O 2.76-2.89
O  0.1599  0.3642  0.6208  3 Cu 1.84-1.85
Cu  0.1918  0.9600  0.6183  2 O 1.81-1.84
Rb  0.9203  0.1770  0.1081  3 O 2.83-3.11
Cu  0.4443  0.9310  0.7350  2 O 1.81-1.82
O  0.6599  0.6358  0.8792  3 Cu 1.84-1.85
Cu  0.8082  0.0400  0.3817  2 O 1.81-1.84
Cu  0.0787  0.5676  0.3801  2 O 1.80-1.85
Rb  0.0797  0.8230  0.8919  3 O 2.83-3.11
O  0.6889  0.4945  0.6105  2 Cu 1.80
O  0.4526  0.9709  0.8696  3 Cu 1.82-1.84
Rb  0.3321  0.6035  0.5941  4 O 2.76-2.89
Rb  0.7828  0.7700  0.5851  4 O 2.73-2.91
Cu  0.9448  0.8005  0.3676  2 O 1.82-1.84
O  0.0735  0.8921  0.1015  2 Cu 1.81
O  0.0474  0.9709  0.3696  3 Cu 1.82-1.84
Cu  0.9443  0.0690  0.7650  2 O 1.81-1.82
O  0.9526  0.0291  0.6304  3 Cu 1.82-1.84
O  0.3111  0.5055  0.3895  2 Cu 1.80
O  0.1889  0.5055  0.8895  2 Cu 1.80
Rb  0.2828  0.2300  0.9149  4 O 2.73-2.91
Cu  0.6918  0.0400  0.8817  2 O 1.81-1.84
Cu  0.3082  0.9600  0.1183  2 O 1.81-1.84
O  0.5735  0.1079  0.3985  2 Cu 1.81
O  0.8111  0.4945  0.1105  2 Cu 1.80
Rb  0.8321  0.3965  0.9059  4 O 2.76-2.89
Cu  0.0557  0.9310  0.2350  2 O 1.81-1.82
Rb  0.5797  0.1770  0.6081  3 O 2.83-3.11

Output
Its density is 4.4 g/cm³. As for the raw total energy: -174.5 eV per formula unit. Its uncorrected formation energy is -0.949 eV per atom. As for the symmetry: No. 14.



# 4
Material: Rb4CuSi2O7
Method: DFT, meta-GGA SCAN
State: single point on PBEsol structure

Unit cell a=6.2377 b=7.1106 c=7.1342 alpha=114.67 beta=100.00 gamma=107.82
Last column: nearest neighbours and their distance in Å.
Atoms (fractional coordinates):
Si  0.2185  0.0790  0.2253  4 O 1.61-1.67
O  0.5208  0.7594  0.7674  1 Si 1.66
O  0.1855  0.2707  0.4386  1 Si 1.66
Rb  0.3192  0.0784  0.7183  5 O 2.80-3.02
O  0.8145  0.7293  0.5614  1 Si 1.66
Rb  0.6808  0.9216  0.2817  5 O 2.80-3.02
O  0.0000  0.0000  0.0000  2 Si 1.67
Rb  0.9370  0.4556  0.2233  5 O 2.77-2.93
Si  0.7815  0.9210  0.7747  4 O 1.61-1.67
O  0.4792  0.2406  0.2326  1 Si 1.66
Rb  0.0630  0.5444  0.7767  5 O 2.77-2.93
Cu  0.5000  0.5000  0.5000  4 O 1.96-1.97
O  0.2050  0.8548  0.2365  1 Si 1.61
O  0.7950  0.1452  0.7635  1 Si 1.61

Output
Its density is 3.7 g/cm³. As for the raw total energy: -193.7 eV per formula unit. Its uncorrected formation energy is -2.278 eV per atom. As for the symmetry: No. 2.



# 5
Material: CuReO3
Method: DFT, meta-GGA SCAN
State: single point on PBEsol structure

Unit cell a=3.8307 b=3.8307 c=3.8307 alpha=90.00 beta=90.00 gamma=90.00
Last column: nearest neighbours and their distance in Å.
Atoms (fractional coordinates):
O  0.0000  0.5000  0.0000  2 Re 1.92
O  0.5000  0.0000  0.0000  2 Re 1.92
O  0.0000  0.0000  0.5000  2 Re 1.92
Re  0.0000  0.0000  0.0000  6 O 1.92
Cu  0.5000  0.5000  0.5000  12 O 2.71

Output
Its density is 8.8 g/cm³. As for the raw total energy: -109.4 eV per formula unit. Its uncorrected formation energy is -0.885 eV per atom. As for the symmetry: No. 221.



# 6
Material: Cu3SO8
Method: DFT, meta-GGA SCAN
State: single point on PBEsol structure

Unit cell a=5.7973 b=7.7621 c=12.7906 alpha=90.00 beta=90.00 gamma=90.00
Last column: nearest neighbours and their distance in Å.
Atoms (fractional coordinates):
O  0.2500  0.7403  0.8055  2 Cu 1.78
Cu  0.2500  0.4990  0.4974  4 O 1.86-1.89
O  0.2500  0.7857  0.4660  2 Cu 1.78
S  0.2500  0.1193  0.3571  4 O 1.45-1.51
O  0.5080  0.5481  0.4116  3 Cu 1.85-1.89
O  0.2500  0.2062  0.4603  1 S 1.48
S  0.7500  0.8807  0.6429  4 O 1.45-1.51
O  0.7500  0.7938  0.5397  1 S 1.48
O  0.7500  0.2597  0.1945  2 Cu 1.78
O  0.7500  0.2143  0.5340  2 Cu 1.78
O  0.2500  0.7062  0.0397  1 S 1.48
Cu  0.7500  0.0010  0.9974  4 O 1.86-1.89
O  0.0338  0.5119  0.1540  1 S 1.51
O  0.2500  0.7439  0.2279  1 S 1.45
Cu  0.9967  0.7192  0.8827  4 O 1.78-1.86
O  0.7500  0.7597  0.3055  2 Cu 1.78
S  0.2500  0.6193  0.1429  4 O 1.45-1.51
Cu  0.5033  0.7192  0.8827  4 O 1.78-1.86
O  0.4920  0.9519  0.9116  3 Cu 1.85-1.89
Cu  0.4967  0.7808  0.3827  4 O 1.78-1.86
O  0.7500  0.7143  0.9660  2 Cu 1.78
O  0.2500  0.2857  0.0340  2 Cu 1.78
O  0.9920  0.0481  0.0884  3 Cu 1.85-1.89
O  0.2500  0.2403  0.6945  2 Cu 1.78
Cu  0.0033  0.2808  0.1173  4 O 1.78-1.86
Cu  0.4967  0.2808  0.1173  4 O 1.78-1.86
O  0.5338  0.9881  0.6540  1 S 1.51
O  0.7500  0.2561  0.7721  1 S 1.45
O  0.5080  0.0481  0.0884  3 Cu 1.85-1.89
O  0.0080  0.4519  0.5884  3 Cu 1.85-1.89
O  0.4920  0.4519  0.5884  3 Cu 1.85-1.89
S  0.7500  0.3807  0.8571  4 O 1.45-1.51
O  0.0080  0.9519  0.9116  3 Cu 1.85-1.89
O  0.7500  0.7561  0.7279  1 S 1.45
O  0.4662  0.0119  0.3460  1 S 1.51
Cu  0.9967  0.2192  0.6173  4 O 1.78-1.86
O  0.5338  0.4881  0.8460  1 S 1.51
O  0.2500  0.2439  0.2721  1 S 1.45
O  0.7500  0.2938  0.9603  1 S 1.48
O  0.9662  0.9881  0.6540  1 S 1.51
O  0.4662  0.5119  0.1540  1 S 1.51
O  0.9920  0.5481  0.4116  3 Cu 1.85-1.89
O  0.0338  0.0119  0.3460  1 S 1.51
O  0.9662  0.4881  0.8460  1 S 1.51
Cu  0.2500  0.9990  0.0026  4 O 1.86-1.89
Cu  0.0033  0.7808  0.3827  4 O 1.78-1.86
Cu  0.5033  0.2192  0.6173  4 O 1.78-1.86
Cu  0.7500  0.5010  0.5026  4 O 1.86-1.89

Output
Its density is 4.0 g/cm³. As for the raw total energy: -114.4 eV per formula unit. Its uncorrected formation energy is -0.779 eV per atom. As for the symmetry: No. 62.